[1]
{
  "formula": "TiReP2Cl",
  "functional": "GGA-PBE",
  "state": "optimized geometry",
  "lattice": [[-0.693, 0.995, -4.394], [-3.777, -2.552, 0.018], [-2.713, 4.024, 1.338]],
  "species": ["Re", "Cl", "P", "P", "Ti"],
  "fractional_positions": [[0.000, 0.000, 0.000], [0.000, 0.000, 0.500], [0.000, 0.500, 0.000], [0.500, 0.000, 0.000], [0.500, 0.500, 0.500]],
  "formation_energy_uncorrected_ev_per_atom": 0.641,
  "polymorph_energy_ev_per_atom": 0.0000
}

[2]
{
  "formula": "Pa2Al4Pd",
  "functional": "GGA-PBE",
  "state": "optimized geometry",
  "lattice": [[-1.595, 3.766, -2.025], [-3.966, -0.495, 2.204], [5.446, 2.579, 5.651]],
  "species": ["Pa", "Pa", "Al", "Al", "Al", "Al", "Pd"],
  "fractional_positions": [[0.646, 0.646, 0.292], [0.354, 0.354, 0.708], [0.000, 0.500, 0.000], [0.500, 0.000, 0.000], [0.837, 0.837, 0.674], [0.163, 0.163, 0.326], [0.000, 0.000, 0.000]],
  "ef_ev_per_atom": 0.10
}

Let's list calculated volume in order: 105; 158 Å³/cell.
Let's list N(E_F) in order: 7.38; 10.86 states/eV/cell.